DFT (PBE-GGA) results for an optimized crystal structure of Mg2AlPd3.

total DFT energy (no corrections)	-27.3	eV/cell
energy of formation	-799	meV per atom

Lattice parameters (Å, degrees): 4.432 4.432 5.452 90.00 90.00 120.00
Sites, in units of the cell vectors:
Mg  0.333  0.667  0.164
Mg  0.667  0.333  0.836
Al  0.000  0.000  0.500
Pd  0.000  0.000  0.000
Pd  0.333  0.667  0.656
Pd  0.667  0.333  0.344

***

DFT (PBE-GGA) results for an optimized crystal structure of CdReBr2.

E_form (uncorrected)	2.10	eV per formula unit
total DFT energy (no corrections)	-14.6	eV/cell

Lattice parameters (Å, degrees): 3.347 3.347 9.942 90.00 90.00 121.50
Sites, in units of the cell vectors:
Cd  0.000  0.000  0.000
Re  0.500  0.500  0.767
Br  0.000  0.000  0.575
Br  0.500  0.500  0.219

***

Offset from the most stable computed form for the records above, in order: 7.5 270.8 meV/atom